{"formula": "Pm2MoRuO8", "functional": "GGA+U", "state": "optimized geometry", "dos_ef_per_ev_cell": 5.6, "sg": "P-1 (2)", "total_energy_ev_per_cell": -90.5, "lattice": [[4.823, -0.114, 0.002], [-0.111, 4.838, -0.003], [0.011, 0.012, 6.837]], "species": ["Pm", "Pm", "O", "O", "O", "O", "O", "O", "O", "O", "Mo", "Ru"], "fractional_positions": [[0.567, 0.565, 0.248], [0.433, 0.435, 0.752], [0.784, 0.131, 0.251], [0.726, 0.728, 0.953], [0.216, 0.869, 0.749], [0.869, 0.217, 0.749], [0.131, 0.783, 0.251], [0.719, 0.720, 0.544], [0.281, 0.280, 0.456], [0.274, 0.272, 0.047], [0.000, 0.000, 0.500], [0.000, 0.000, 0.000]]}